# AgHg2Au

A geometry-optimized AgHg2Au structure (PBE, Alexandria). Values from VASP.

Quantum ESPRESSO input file:
```
&SYSTEM
  ibrav = 0, nat = 4, ntyp = 3
/
ATOMIC_SPECIES
Au 196.97 Au.upf
Hg 200.59 Hg.upf
Ag 107.87 Ag.upf
ATOMIC_POSITIONS crystal
Au 0.754 0.754 0.754
Hg 0.006 0.006 0.006
Hg 0.244 0.244 0.244
Ag 0.496 0.496 0.496
CELL_PARAMETERS angstrom
9.953 -0.016 -0.010
9.460 3.095 -0.010
9.460 1.500 2.707
```

Fermi-level density of states   1.34 states/eV/f.u.
Energy   -1.589 eV per atom
Energy of formation from the pure elements   0.094 eV/atom


# VSbAs2I

A geometry-optimized VSbAs2I structure (PBE, Alexandria). Values from VASP.

Quantum ESPRESSO input file:
```
&SYSTEM
  ibrav = 0, nat = 5, ntyp = 4
/
ATOMIC_SPECIES
I 126.90 I.upf
Sb 121.76 Sb.upf
As 74.92 As.upf
V 50.94 V.upf
ATOMIC_POSITIONS crystal
I 0.000 0.500 0.000
Sb 0.000 0.000 0.000
As 0.000 0.000 0.500
As 0.500 0.000 0.000
V 0.500 0.500 0.500
CELL_PARAMETERS angstrom
-1.991 3.994 -2.783
-0.226 -3.400 -4.716
-4.864 -1.506 1.318
```

Fermi-level density of states   7.18 states/eV/f.u.
Energy   -3.422 eV per atom


# HfCoHRh2

A geometry-optimized HfCoHRh2 structure (PBE, Alexandria). Values from VASP.

Quantum ESPRESSO input file:
```
&SYSTEM
  ibrav = 0, nat = 5, ntyp = 4
/
ATOMIC_SPECIES
Rh 102.91 Rh.upf
Hf 178.49 Hf.upf
H 1.01 H.upf
Co 58.93 Co.upf
ATOMIC_POSITIONS crystal
Rh 0.000 0.500 0.000
Rh 0.500 0.000 0.000
Hf 0.500 0.500 0.500
H 0.000 0.000 0.000
Co 0.000 0.000 0.500
CELL_PARAMETERS angstrom
3.953 0.000 0.000
0.000 3.953 0.000
0.000 0.000 3.834
```

Fermi-level density of states   2.06 states/eV/f.u.
Energy   -7.570 eV per atom


# LiGaPbC2

A geometry-optimized LiGaPbC2 structure (PBE, Alexandria). Values from VASP.

Quantum ESPRESSO input file:
```
&SYSTEM
  ibrav = 0, nat = 5, ntyp = 4
/
ATOMIC_SPECIES
Pb 207.20 Pb.upf
C 12.01 C.upf
Ga 69.72 Ga.upf
Li 6.94 Li.upf
ATOMIC_POSITIONS crystal
Pb 0.500 0.500 0.500
C 0.000 0.000 0.500
C 0.500 0.000 0.000
Ga 0.000 0.000 0.000
Li 0.000 0.500 0.000
CELL_PARAMETERS angstrom
4.058 0.000 0.000
0.000 4.807 0.000
0.000 0.000 4.058
```

Fermi-level density of states   2.28 states/eV/f.u.
Energy   -3.807 eV per atom
Energy of formation from the pure elements   1.612 eV/atom